V4WC5: optimized geometry, PBE-GGA.

a = 2.9827 Å, b = 2.9827 Å, c = 36.4183 Å
α = 90.00°, β = 90.00°, γ = 120.00°
Space group R-3m (No. 166, hexagonal axes)
Inequivalent atoms, fractional coordinates:
V1 0.0000 0.0000 0.0981 [6 per cell]
V2 0.0000 0.0000 0.3005 [6 per cell]
W1 0.0000 0.0000 0.5000 [3 per cell]
C1 0.0000 0.0000 0.0000 [3 per cell]
C2 0.0000 0.0000 0.2026 [6 per cell]
C3 0.0000 0.0000 0.3987 [6 per cell]

Summary:
Crystal system: trigonal
ρ: 7.95 g/cm3
Formation enthalpy at 0 K: -27.9 kJ per mole of atoms

---

TaCu2Cl: optimized geometry, PBE-GGA.

a = 3.555 Å, b = 3.555 Å, c = 9.442 Å
α = 90.00°, β = 90.00°, γ = 90.00°
Space group I4/mmm (No. 139)
Inequivalent atoms, fractional coordinates:
Ta1 0.000 0.000 0.000 [2 per cell]
Cu1 0.000 0.500 0.250 [4 per cell]
Cl1 0.000 0.000 0.500 [2 per cell]

Summary:
Crystal system: tetragonal
ρ: 9.56 g/cm3
Formation energy without anion corrections: 0.5863 eV/atom

---

Tb3Tm3Sc: optimized geometry, PBE-GGA.

a = 9.3945 Å, b = 9.3945 Å, c = 5.5585 Å
α = 90.00°, β = 90.00°, γ = 120.00°
Space group P6_3/m (No. 176)
Inequivalent atoms, fractional coordinates:
Tb1 0.0510 0.2433 0.2500 [6 per cell]
Tm1 0.0960 0.4784 0.7500 [6 per cell]
Sc1 0.3333 0.6667 0.2500 [2 per cell]

Summary:
Crystal system: hexagonal
ρ: 8.04 g/cm3
Formation enthalpy at 0 K: 1.9 kJ per mole of atoms

---

TbDy4Y15: optimized geometry, PBE-GGA.

a = 5.041 Å, b = 5.041 Å, c = 25.212 Å
α = 90.00°, β = 90.00°, γ = 90.00°
Space group P4/mmm (No. 123)
Inequivalent atoms, fractional coordinates:
Tb1 0.000 0.000 0.000 [1 per cell]
Dy1 0.000 0.000 0.200 [2 per cell]
Dy2 0.000 0.000 0.400 [2 per cell]
Y1 0.000 0.500 0.100 [4 per cell]
Y2 0.000 0.500 0.300 [4 per cell]
Y3 0.000 0.500 0.500 [2 per cell]
Y4 0.500 0.500 0.000 [1 per cell]
Y5 0.500 0.500 0.200 [2 per cell]
Y6 0.500 0.500 0.400 [2 per cell]

Summary:
Crystal system: tetragonal
ρ: 5.55 g/cm3
Formation enthalpy at 0 K: 2.2 kJ per mole of atoms

---

Er4BiSbC: optimized geometry, PBE-GGA.

a = 6.754 Å, b = 15.702 Å, c = 6.767 Å
α = 90.00°, β = 90.00°, γ = 90.00°
Space group Cmcm (No. 63)
Inequivalent atoms, fractional coordinates:
Er1 0.000 0.094 0.250 [4 per cell]
Er2 0.000 0.403 0.250 [4 per cell]
Er3 0.250 0.250 0.000 [8 per cell]
Bi1 0.000 0.396 0.750 [4 per cell]
Sb1 0.000 0.108 0.750 [4 per cell]
C1 0.000 0.249 0.250 [4 per cell]

Summary:
Crystal system: orthorhombic
ρ: 9.36 g/cm3
Formation energy without anion corrections: -0.7031 eV/atom

---

La2ScRu: optimized geometry, PBE-GGA.

a = 3.801 Å, b = 5.412 Å, c = 10.245 Å
α = 90.00°, β = 90.00°, γ = 90.00°
Space group Immm (No. 71)
Inequivalent atoms, fractional coordinates:
La1 0.000 0.000 0.197 [4 per cell]
Sc1 0.000 0.500 0.000 [2 per cell]
Ru1 0.000 0.500 0.500 [2 per cell]

Summary:
Crystal system: orthorhombic
ρ: 6.68 g/cm3
Formation enthalpy at 0 K: -10.6 kJ per mole of atoms

---

Y5Er2Tm4: optimized geometry, PBE-GGA.

a = 3.483 Å, b = 8.965 Å, c = 22.997 Å
α = 90.00°, β = 90.00°, γ = 90.00°
Space group Immm (No. 71)
Inequivalent atoms, fractional coordinates:
Y1 0.000 0.000 0.000 [2 per cell]
Y2 0.000 0.301 0.356 [8 per cell]
Er1 0.000 0.500 0.231 [4 per cell]
Tm1 0.000 0.187 0.500 [4 per cell]
Tm2 0.000 0.500 0.096 [4 per cell]

Summary:
Crystal system: orthorhombic
ρ: 6.73 g/cm3
Formation enthalpy at 0 K: 21.0 kJ per mole of atoms

---

KCa2Ta: optimized geometry, PBE-GGA.

a = 5.031 Å, b = 5.031 Å, c = 10.887 Å
α = 90.00°, β = 90.00°, γ = 90.00°
Space group I-4m2 (No. 119)
Inequivalent atoms, fractional coordinates:
K1 0.000 0.000 0.000 [2 per cell]
Ca1 0.000 0.000 0.500 [2 per cell]
Ca2 0.000 0.500 0.250 [2 per cell]
Ta1 0.000 0.500 0.750 [2 per cell]

Summary:
Crystal system: tetragonal
ρ: 3.62 g/cm3
Formation enthalpy at 0 K: 105.2 kJ per mole of atoms

---

Ba3Na2Pd7: optimized geometry, PBE-GGA.

a = 5.7995 Å, b = 5.7995 Å, c = 27.7087 Å
α = 90.00°, β = 90.00°, γ = 120.00°
Space group R-3m (No. 166, hexagonal axes)
Inequivalent atoms, fractional coordinates:
Ba1 0.0000 0.0000 0.0000 [3 per cell]
Ba2 0.0000 0.0000 0.1393 [6 per cell]
Na1 0.0000 0.0000 0.3343 [6 per cell]
Pd1 0.0000 0.0000 0.5000 [3 per cell]
Pd2 0.0022 0.5011 0.9150 [18 per cell]

Summary:
Crystal system: trigonal
ρ: 7.42 g/cm3
Formation enthalpy at 0 K: -39.1 kJ per mole of atoms

---

KAsIO6: optimized geometry, PBE-GGA.

a = 5.2195 Å, b = 5.2195 Å, c = 6.0855 Å
α = 90.00°, β = 90.00°, γ = 120.00°
Space group P312 (No. 149)
Inequivalent atoms, fractional coordinates:
K1 0.0000 0.0000 0.0000 [1 per cell]
As1 0.3333 0.6667 0.5000 [1 per cell]
I1 0.6667 0.3333 0.5000 [1 per cell]
O1 0.0214 0.3981 0.6809 [6 per cell]

Summary:
Crystal system: trigonal
ρ: 3.90 g/cm3
Formation energy without anion corrections: -0.8772 eV/atom

---

Al2RuBr2: optimized geometry, PBE-GGA.

a = 5.351 Å, b = 5.351 Å, c = 7.789 Å
α = 90.00°, β = 90.00°, γ = 90.00°
Space group I4/mmm (No. 139)
Inequivalent atoms, fractional coordinates:
Al1 0.000 0.500 0.250 [4 per cell]
Ru1 0.000 0.000 0.000 [2 per cell]
Br1 0.000 0.000 0.310 [4 per cell]

Summary:
Crystal system: tetragonal
ρ: 4.69 g/cm3
Formation energy without anion corrections: 0.6810 eV/atom

---

CdGaTc2: optimized geometry, PBE-GGA.

a = 7.293 Å, b = 7.293 Å, c = 5.194 Å
α = 90.00°, β = 90.00°, γ = 90.00°
Space group I-42d (No. 122)
Inequivalent atoms, fractional coordinates:
Cd1 0.000 0.000 0.000 [4 per cell]
Ga1 0.000 0.000 0.500 [4 per cell]
Tc1 0.215 0.250 0.625 [8 per cell]

Summary:
Crystal system: tetragonal
ρ: 9.09 g/cm3
Formation enthalpy at 0 K: 63.8 kJ per mole of atoms

---

- Which of these has the highest ρ?
  TaCu2Cl

---

- Which of these has the highest ρ?
  TaCu2Cl